This record from Alexandria via LeMat-Bulk describes crystalline NpB2 at its relaxed geometry. The functional is PBE.

a = 3.0548 Å, b = 3.0548 Å, c = 3.9967 Å
α = 90.00°, β = 90.00°, γ = 120.00°
Space group P6/mmm (No. 191)
Unique sites:
Np  0.0000  0.0000  0.0000 (multiplicity 1)
B  0.3333  0.6667  0.5000 (multiplicity 2)

Calculated values
Total magnetic moment, μB per cell: 1.6
Electronic total energy, eV/f.u.: -27.50
E above lowest polymorph, eV per atom: 0.000